Entry 1:
A plane-wave DFT calculation with PBE was carried out for a geometry-optimized Mg2Tl2IO6 structure.

Its spin magnetization is 1.42 μB per cell. The density of states at the Fermi level is 7.06 states/eV per cell. Its raw formation energy is -1225.6 meV per atom.

The space group is C2/m (No. 12) and the conventional cell measures 5.524, 9.455 and 6.930 Å, with angles of 90.00, 108.02 and 90.00 degrees. Symmetry generates all atoms from Mg at (0.000, 0.166, 0.000), Tl at (0.000, 0.327, 0.500), I at (0.000, 0.500, 0.000), O at (0.219, 0.341, 0.162) and O at (0.246, 0.000, 0.160).

Entry 2:
A plane-wave DFT calculation with PBE was carried out for a geometry-optimized BeRe3Te structure.

Its spin magnetization is 1.99 μB per cell. The calculation puts the relative energy among the computed polymorphs at 1714 meV per atom. The density of states at the Fermi level is 4.91 states/eV per cell. Its raw formation energy is 2839.9 meV per atom.

The space group is Pm-3m (No. 221) and the conventional cell measures 4.810, 4.810 and 4.810 Å, with angles of 90.00, 90.00 and 90.00 degrees. Symmetry generates all atoms from Be at (0.000, 0.000, 0.000), Re at (0.000, 0.500, 0.500) and Te at (0.500, 0.500, 0.500).

Entry 3:
A plane-wave DFT calculation with PBE was carried out for a geometry-optimized PaCuMo structure.

The value obtained for the energy relative to the elements is 0.22 eV/atom. Its spin magnetization is 0.00 μB per cell. The density of states at the Fermi level is 8.40 states/eV per cell.

The space group is P4/nmm (No. 129, origin choice 2) and the conventional cell measures 3.381, 3.381 and 9.234 Å, with angles of 90.00, 90.00 and 90.00 degrees. Symmetry generates all atoms from Pa at (0.250, 0.250, 0.105), Cu at (0.250, 0.250, 0.433) and Mo at (0.250, 0.250, 0.723).

Entry 4:
A plane-wave DFT calculation with PBE was carried out for a geometry-optimized RbTaSn3 structure.

The value obtained for the energy relative to the elements is 2.27 eV/atom. Its spin magnetization is 0.00 μB per cell. The calculation puts the relative energy among the computed polymorphs at 2233 meV per atom. The density of states at the Fermi level is 4.94 states/eV per cell.

The space group is Pm-3m (No. 221) and the conventional cell measures 5.646, 5.646 and 5.646 Å, with angles of 90.00, 90.00 and 90.00 degrees. Symmetry generates all atoms from Rb at (0.000, 0.000, 0.000), Ta at (0.500, 0.500, 0.500) and Sn at (0.000, 0.000, 0.500).

Entry 5:
A plane-wave DFT calculation with PBE was carried out for a geometry-optimized Fe4Ni6Pt7 structure.

The value obtained for the energy relative to the elements is 0.10 eV/atom. Its spin magnetization is 37.67 μB per cell. The density of states at the Fermi level is 42.34 states/eV per cell.

The space group is Im-3m (No. 229) and the conventional cell measures 7.870, 7.870 and 7.870 Å, with angles of 90.00, 90.00 and 90.00 degrees. Symmetry generates all atoms from Fe at (0.250, 0.250, 0.250), Ni at (0.000, 0.000, 0.299), Pt at (0.000, 0.000, 0.000) and Pt at (0.000, 0.250, 0.500).

Entry 6:
A plane-wave DFT calculation with PBE was carried out for a geometry-optimized Ho7CdCo2 structure.

The value obtained for the energy relative to the elements is 0.00 eV/atom. Its spin magnetization is 0.00 μB per cell. The density of states at the Fermi level is 19.24 states/eV per cell.

The space group is Cmmm (No. 65) and the conventional cell measures 8.857, 13.275 and 4.921 Å, with angles of 90.00, 90.00 and 90.00 degrees. Symmetry generates all atoms from Ho at (0.000, 0.000, 0.000), Ho at (0.000, 0.205, 0.500), Ho at (0.185, 0.367, 0.000), Cd at (0.000, 0.500, 0.500) and Co at (0.000, 0.204, 0.000).

Entry 7:
A plane-wave DFT calculation with PBE was carried out for a geometry-optimized Be3InAu3 structure.

The value obtained for the energy relative to the elements is 0.18 eV/atom. Its spin magnetization is 0.00 μB per cell. The density of states at the Fermi level is 2.88 states/eV per cell.

The space group is Pm-3n (No. 223) and the conventional cell measures 6.419, 6.419 and 6.419 Å, with angles of 90.00, 90.00 and 90.00 degrees. Symmetry generates all atoms from Be at (0.000, 0.250, 0.500), In at (0.000, 0.000, 0.000) and Au at (0.000, 0.500, 0.250).

Entry 8:
A plane-wave DFT calculation with PBE was carried out for a geometry-optimized PrCoC2 structure.

The value obtained for the energy relative to the elements is -0.24 eV/atom. Its spin magnetization is 0.00 μB per cell. The density of states at the Fermi level is 4.46 states/eV per cell.

The space group is P4_1 (No. 76) and the conventional cell measures 3.829, 3.829 and 14.525 Å, with angles of 90.00, 90.00 and 90.00 degrees. Symmetry generates all atoms from Pr at (0.143, 0.145, 0.000), Co at (0.353, 0.361, 0.596), C at (0.145, 0.644, 0.136) and C at (0.348, 0.358, 0.462).

Entry 9:
A plane-wave DFT calculation with PBE was carried out for a geometry-optimized Ce2ScMnS6 structure.

Its spin magnetization is 18.08 μB per cell. The density of states at the Fermi level is 21.84 states/eV per cell. Its raw formation energy is -1585.7 meV per atom.

The space group is R3 (No. 146, hexagonal axes) and the conventional cell measures 6.7699, 6.7699 and 17.6412 Å, with angles of 90.00, 90.00 and 120.00 degrees. Symmetry generates all atoms from Ce at (0.0000, 0.0000, 0.0000), Ce at (0.0000, 0.0000, 0.4973), Sc at (0.0000, 0.0000, 0.7023), Mn at (0.0000, 0.0000, 0.2045), S at (0.0547, 0.3465, 0.2749) and S at (0.0599, 0.7119, 0.7766).

Entry 10:
A plane-wave DFT calculation with PBE was carried out for a geometry-optimized RbGa2HgPt structure.

The value obtained for the energy relative to the elements is -0.25 eV/atom. Its spin magnetization is 0.00 μB per cell. The calculation puts the relative energy among the computed polymorphs at 0 meV per atom. The density of states at the Fermi level is 2.90 states/eV per cell.

The space group is P4/mmm (No. 123) and the conventional cell measures 4.954, 4.954 and 5.484 Å, with angles of 90.00, 90.00 and 90.00 degrees. Symmetry generates all atoms from Rb at (0.000, 0.000, 0.000), Ga at (0.000, 0.500, 0.500), Hg at (0.500, 0.500, 0.000) and Pt at (0.500, 0.500, 0.500).

Entry 11:
A plane-wave DFT calculation with PBE was carried out for a geometry-optimized ThBePRh6 structure.

The value obtained for the energy relative to the elements is -0.32 eV/atom. Its spin magnetization is 0.00 μB per cell. The density of states at the Fermi level is 25.18 states/eV per cell.

The space group is Imma (No. 74) and the conventional cell measures 6.056, 9.035 and 11.210 Å, with angles of 90.00, 90.00 and 90.00 degrees. Symmetry generates all atoms from Th at (0.000, 0.250, 0.157), Be at (0.250, 0.250, 0.750), P at (0.000, 0.000, 0.500), Rh at (0.000, 0.250, 0.420), Rh at (0.000, 0.250, 0.897) and Rh at (0.234, 0.014, 0.866).

Entry 12:
A plane-wave DFT calculation with PBE was carried out for a geometry-optimized Hg3Se5 structure.

Its spin magnetization is 0.00 μB per cell. The calculation puts the relative energy among the computed polymorphs at 66 meV per atom. The density of states at the Fermi level is 6.51 states/eV per cell. Its raw formation energy is 116.5 meV per atom.

The space group is Cmmm (No. 65) and the conventional cell measures 7.623, 16.678 and 3.898 Å, with angles of 90.00, 90.00 and 90.00 degrees. Symmetry generates all atoms from Hg at (0.000, 0.000, 0.000), Hg at (0.000, 0.254, 0.500), Se at (0.000, 0.500, 0.000), Se at (0.231, 0.500, 0.500) and Se at (0.250, 0.250, 0.000).